VASP calculation (PBE-GGA) on crystalline NaScC at its relaxed geometry.

The energy relative to the elements comes out at -14 kJ per mole of atoms. The calculated volume is 66 Å³/f.u. The calculation puts the offset from the most stable computed form at 0 meV/atom. The calculated density comes out at 2.003 g/cm3. Its space group is P-1. The energy is -0.424 Ry per atom. For the total magnetization, the calculation gives 0.000 Bohr magnetons per cell.

Cell: 11.2278 3.3906 4.0094 Å, 115.13 98.92 98.49°
Closest atoms and distances in Å follow each position.
Atoms (fractional coordinates):
Sc: 0.1023 0.7327 0.3654  3 C 2.13-2.31
Sc: 0.8977 0.2673 0.6346  3 C 2.13-2.31
Na: 0.6388 0.7666 0.8814  4 Na 3.39-3.77, 3 Sc 3.45-3.64, 1 C 3.50
Na: 0.3612 0.2334 0.1186  4 Na 3.39-3.77, 3 Sc 3.45-3.64, 1 C 3.50
C: 0.0361 0.9523 0.8686  1 C 1.39
C: 0.9639 0.0477 0.1314  1 C 1.39